# 1
A plane-wave DFT calculation with PBE was carried out for a relaxed Tm5Mg4Ga crystal.

Cell and atoms, written as POSCAR:
```
Tm5Mg4Ga
1.0
3.6840 0.0000 0.0000
0.0000 3.6840 0.0000
0.0000 0.0000 18.6943
Tm Mg Ga
5 4 1
Cartesian
0.0000 0.0000 0.0000
0.0000 0.0000 3.8348
0.0000 0.0000 7.6700
0.0000 0.0000 11.0243
0.0000 0.0000 14.8595
1.8420 1.8420 1.9198
1.8420 1.8420 5.7258
1.8420 1.8420 12.9685
1.8420 1.8420 16.7744
1.8420 1.8420 9.3471
```

Summary:
- formation energy from the elements (meV per atom) = -165

***

# 2
A plane-wave DFT calculation with PBE was carried out for a relaxed Tm7Mg2Ga2 crystal.

Cell and atoms, written as POSCAR:
```
Tm7Mg2Ga2
1.0
3.8101 -5.5553 0.0000
3.8101 5.5553 0.0000
0.0000 0.0000 7.4686
Tm Mg Ga
7 2 2
Cartesian
0.0000 0.0000 0.0000
1.9050 2.7776 2.0535
1.9050 2.7776 5.4152
1.9050 -2.7776 2.0535
1.9050 -2.7776 5.4152
3.8101 0.0000 1.7950
3.8101 0.0000 5.6736
1.3423 0.0000 3.7343
6.2779 0.0000 3.7343
3.8101 2.3004 0.0000
3.8101 -2.3004 0.0000
```

Summary:
- formation energy from the elements (meV per atom) = 7

***

# 3
A plane-wave DFT calculation with PBE was carried out for a relaxed Tm2MgGa3 crystal.

Cell and atoms, written as POSCAR:
```
Tm2MgGa3
1.0
4.7349 0.0000 0.0000
0.0000 5.8614 0.0000
0.0000 0.0000 10.0615
Tm Mg Ga
4 2 6
Cartesian
0.0000 0.0000 1.7536
0.0000 0.0000 8.3080
2.3674 2.9307 3.2772
2.3674 2.9307 6.7843
0.0000 0.0000 5.0308
2.3674 2.9307 0.0000
0.0000 2.9307 1.4762
0.0000 2.9307 5.0308
0.0000 2.9307 8.5853
2.3674 0.0000 0.0000
2.3674 0.0000 3.5545
2.3674 0.0000 6.5070
```

Summary:
- formation energy from the elements (meV per atom) = -225

***

# 4
A plane-wave DFT calculation with PBE was carried out for a relaxed Tm3Mg4Ga4 crystal.

Cell and atoms, written as POSCAR:
```
Tm3Mg4Ga4
1.0
-2.2184 3.6351 7.3457
2.2184 -3.6351 7.3457
2.2184 3.6351 -7.3457
Tm Mg Ga
3 4 4
Cartesian
0.0000 0.0000 0.0000
2.2184 0.0000 5.6416
0.0000 3.6351 1.7040
2.2184 1.4281 -2.5281
2.2184 1.4281 2.5281
0.0000 2.2070 4.8176
0.0000 2.2070 9.8738
0.0000 0.0000 3.2020
2.2184 2.2929 0.0000
0.0000 1.3422 7.3457
0.0000 0.0000 11.4893
```

Summary:
- formation energy from the elements (meV per atom) = -389

***

# 5
A plane-wave DFT calculation with PBE was carried out for a relaxed TmMgGa4 crystal.

Cell and atoms, written as POSCAR:
```
TmMgGa4
1.0
0.0000 3.8614 3.8614
3.8614 0.0000 3.8614
3.8614 3.8614 0.0000
Tm Mg Ga
1 1 4
Cartesian
0.0000 0.0000 0.0000
1.9307 1.9307 1.9307
4.8283 2.8945 2.8945
2.8945 4.8283 2.8945
2.8945 2.8945 4.8283
4.8283 4.8283 4.8283
```

Summary:
- formation energy from the elements (meV per atom) = -269

***

# 6
A plane-wave DFT calculation with PBE was carried out for a relaxed TmMgGa4 crystal.

Cell and atoms, written as POSCAR:
```
TmMgGa4
1.0
4.3582 0.0000 0.0000
0.0000 6.5502 0.0000
0.0000 0.0000 8.0316
Tm Mg Ga
2 2 8
Cartesian
0.0000 0.0000 0.0000
2.1791 3.2751 4.0158
0.0000 3.2751 0.0000
2.1791 0.0000 4.0158
0.0000 1.4302 2.6942
0.0000 1.4302 5.3374
0.0000 5.1200 2.6942
0.0000 5.1200 5.3374
2.1791 1.8449 1.3216
2.1791 1.8449 6.7100
2.1791 4.7054 1.3216
2.1791 4.7054 6.7100
```

Summary:
- formation energy from the elements (meV per atom) = -369

***

# 7
A plane-wave DFT calculation with PBE was carried out for a relaxed TmMg2Ga crystal.

Cell and atoms, written as POSCAR:
```
TmMg2Ga
1.0
3.1868 0.0000 0.0000
-1.5934 2.7599 0.0000
0.0000 0.0000 32.7617
Tm Mg Ga
3 6 3
Cartesian
0.0000 0.0000 0.0000
0.0000 1.8399 21.8412
1.5934 0.9200 10.9206
0.0000 0.0000 3.1819
0.0000 0.0000 29.5798
0.0000 1.8399 18.6593
0.0000 1.8399 25.0230
1.5934 0.9200 7.7387
1.5934 0.9200 14.1025
0.0000 0.0000 16.3809
0.0000 1.8399 5.4603
1.5934 0.9200 27.3014
```

Summary:
- formation energy from the elements (meV per atom) = 124

***

# 8
A plane-wave DFT calculation with PBE was carried out for a relaxed Tm2MgGa8 crystal.

Cell and atoms, written as POSCAR:
```
Tm2MgGa8
1.0
4.2745 0.0000 0.0000
0.0000 4.2745 0.0000
0.0000 0.0000 11.9549
Tm Mg Ga
2 1 8
Cartesian
0.0000 0.0000 2.0837
0.0000 0.0000 9.8712
0.0000 0.0000 5.9774
0.0000 2.1373 0.0000
0.0000 2.1373 4.2017
0.0000 2.1373 7.7532
2.1373 0.0000 0.0000
2.1373 0.0000 4.2017
2.1373 0.0000 7.7532
2.1373 2.1373 2.1495
2.1373 2.1373 9.8054
```

Summary:
- formation energy from the elements (meV per atom) = -331

***

# 9
A plane-wave DFT calculation with PBE was carried out for a relaxed TmMg4Ga4 crystal.

Cell and atoms, written as POSCAR:
```
TmMg4Ga4
1.0
6.5905 0.0000 0.0000
0.0000 6.5905 0.0000
0.0000 0.0000 8.9060
Tm Mg Ga
2 8 8
Cartesian
1.6476 4.9429 2.2265
4.9429 1.6476 6.6795
0.0780 1.6476 1.3612
1.6476 0.0780 5.8142
1.6476 3.2173 5.8142
3.2173 1.6476 1.3612
3.3732 4.9429 7.5449
4.9429 3.3732 3.0919
4.9429 6.5125 3.0919
6.5125 4.9429 7.5449
0.2866 1.6476 4.0848
1.6476 0.2866 8.5379
1.6476 3.0087 8.5379
3.0087 1.6476 4.0848
3.5818 4.9429 4.8212
4.9429 3.5818 0.3682
4.9429 6.3039 0.3682
6.3039 4.9429 4.8212
```

Summary:
- formation energy from the elements (meV per atom) = -104

***

# 10
A plane-wave DFT calculation with PBE was carried out for a relaxed Tm4MgGa12 crystal.

Cell and atoms, written as POSCAR:
```
Tm4MgGa12
1.0
-4.3427 4.3427 4.3427
4.3427 -4.3427 4.3427
4.3427 4.3427 -4.3427
Tm Mg Ga
4 1 12
Cartesian
2.1714 2.1714 -2.1714
2.1714 -2.1714 2.1714
-2.1714 2.1714 2.1714
2.1714 2.1714 2.1714
0.0000 0.0000 0.0000
2.6846 0.0000 0.0000
6.0008 0.0000 0.0000
4.3427 2.1714 0.0000
4.3427 0.0000 2.1714
0.0000 2.6846 0.0000
0.0000 0.0000 2.6846
2.1714 4.3427 0.0000
2.1714 0.0000 4.3427
0.0000 6.0008 0.0000
0.0000 0.0000 6.0008
0.0000 4.3427 2.1714
0.0000 2.1714 4.3427
```

Summary:
- formation energy from the elements (meV per atom) = -460

***

# 11
A plane-wave DFT calculation with PBE was carried out for a relaxed TmMg2Ga6 crystal.

Cell and atoms, written as POSCAR:
```
TmMg2Ga6
1.0
7.7626 0.0000 0.0000
-3.8813 6.7226 0.0000
0.0000 0.0000 3.2929
Tm Mg Ga
1 2 6
Cartesian
0.0000 0.0000 0.0000
0.0000 4.4817 0.0000
3.8813 2.2409 0.0000
-1.3053 2.2608 1.6465
-2.5760 4.4618 1.6465
2.6105 0.0000 1.6465
1.3053 2.2608 1.6465
5.1521 0.0000 1.6465
2.5760 4.4618 1.6465
```

Summary:
- formation energy from the elements (meV per atom) = -256

***

# 12
A plane-wave DFT calculation with PBE was carried out for a relaxed Tm5MgGa3 crystal.

Cell and atoms, written as POSCAR:
```
Tm5MgGa3
1.0
8.7856 0.0000 0.0000
-4.3928 7.6086 0.0000
0.0000 0.0000 6.3680
Tm Mg Ga
10 2 6
Cartesian
-1.3594 2.3546 1.5920
-3.0334 5.2540 4.7760
2.7188 0.0000 1.5920
1.3594 2.3546 4.7760
0.0000 5.0724 0.0000
0.0000 5.0724 3.1840
4.3928 2.5362 0.0000
4.3928 2.5362 3.1840
6.0668 0.0000 4.7760
3.0334 5.2540 1.5920
0.0000 0.0000 0.0000
0.0000 0.0000 3.1840
-1.5615 2.7046 4.7760
-2.8313 4.9039 1.5920
3.1230 0.0000 4.7760
1.5615 2.7046 1.5920
5.6626 0.0000 1.5920
2.8313 4.9039 4.7760
```

Summary:
- formation energy from the elements (meV per atom) = -427

***

# 13
A plane-wave DFT calculation with PBE was carried out for a relaxed TmMg2Ga crystal.

Cell and atoms, written as POSCAR:
```
TmMg2Ga
1.0
4.2972 0.0000 0.0000
0.0000 4.2972 0.0000
0.0000 0.0000 4.7478
Tm Mg Ga
1 2 1
Cartesian
0.0000 0.0000 0.0000
0.0000 2.1486 2.3739
2.1486 0.0000 2.3739
2.1486 2.1486 0.0000
```

Summary:
- formation energy from the elements (meV per atom) = -283

***

# 14
A plane-wave DFT calculation with PBE was carried out for a relaxed Tm4Mg5Ga2 crystal.

Cell and atoms, written as POSCAR:
```
Tm4Mg5Ga2
1.0
7.8861 0.0000 0.0000
0.0000 3.4995 0.0000
-0.6767 0.0000 9.8240
Tm Mg Ga
4 5 2
Cartesian
1.0014 0.0000 3.6187
1.3480 0.0000 9.2507
5.8613 0.0000 0.5732
6.2079 0.0000 6.2053
1.0267 1.7497 6.4642
3.3108 1.7497 1.9098
3.6047 1.7497 4.9120
3.8985 1.7497 7.9142
6.1826 1.7497 3.3598
0.3859 1.7497 1.2877
6.8234 1.7497 8.5363
```

Summary:
- formation energy from the elements (meV per atom) = -193

***

# 15
A plane-wave DFT calculation with PBE was carried out for a relaxed Tm2MgGa9 crystal.

Cell and atoms, written as POSCAR:
```
Tm2MgGa9
1.0
4.2371 0.0000 0.0000
0.0000 4.2371 0.0000
0.0000 0.0000 12.5982
Tm Mg Ga
2 1 9
Cartesian
0.0000 0.0000 2.1122
0.0000 0.0000 10.4860
0.0000 0.0000 6.2991
0.0000 2.1185 0.0000
0.0000 2.1185 4.2891
0.0000 2.1185 8.3091
2.1185 0.0000 0.0000
2.1185 0.0000 4.2891
2.1185 0.0000 8.3091
2.1185 2.1185 2.0952
2.1185 2.1185 6.2991
2.1185 2.1185 10.5030
```

Summary:
- formation energy from the elements (meV per atom) = -368

***

# 16
A plane-wave DFT calculation with PBE was carried out for a relaxed Tm3MgGa3 crystal.

Cell and atoms, written as POSCAR:
```
Tm3MgGa3
1.0
8.6285 0.0000 0.0000
-4.3143 7.4725 0.0000
0.0000 0.0000 4.9802
Tm Mg Ga
6 2 6
Cartesian
-2.0275 4.9304 1.2451
1.0581 3.2514 1.2451
3.3449 0.7093 3.7352
0.9694 6.7632 1.2451
3.2561 4.2211 3.7352
6.3418 2.5421 3.7352
0.0000 4.9817 3.7352
4.3143 2.4908 1.2451
-3.1863 6.1890 3.7352
0.5476 1.6186 3.7352
1.6756 0.3350 1.2451
2.6387 7.1375 3.7352
3.7666 5.8539 1.2451
7.5006 1.2836 1.2451
```

Summary:
- formation energy from the elements (meV per atom) = -283

***

# 17
A plane-wave DFT calculation with PBE was carried out for a relaxed TmMg2Zn2Ga2 crystal.

Cell and atoms, written as POSCAR:
```
TmMg2Zn2Ga2
1.0
2.1951 1.2673 8.1163
-2.1951 1.2673 8.1163
0.0000 -2.5346 8.1163
Tm Mg Zn Ga
1 2 2 2
Cartesian
0.0000 0.0000 0.0000
0.0000 0.0000 3.2506
0.0000 0.0000 21.0983
0.0000 0.0000 9.7898
0.0000 0.0000 14.5591
0.0000 0.0000 6.2733
0.0000 0.0000 18.0757
```

Summary:
- formation energy from the elements (meV per atom) = -316

***

# 18
A plane-wave DFT calculation with PBE was carried out for a relaxed MgUGa4 crystal.

Cell and atoms, written as POSCAR:
```
MgUGa4
1.0
2.9251 0.0000 0.0000
0.0000 4.6894 0.0000
0.0000 0.0000 8.1697
Mg U Ga
1 1 4
Cartesian
0.0000 0.0000 0.0000
0.0000 2.3447 4.0849
1.4626 0.0000 2.6711
1.4626 0.0000 5.4986
1.4626 2.3447 1.3133
1.4626 2.3447 6.8564
```

Summary:
- formation energy from the elements (meV per atom) = -166

***

# 19
A plane-wave DFT calculation with PBE was carried out for a relaxed MgU4Ga15 crystal.

Cell and atoms, written as POSCAR:
```
MgU4Ga15
1.0
4.2550 0.0000 0.0000
0.0000 4.2550 0.0000
0.0000 0.0000 21.1408
Mg U Ga
1 4 15
Cartesian
0.0000 0.0000 0.0000
0.0000 0.0000 4.1307
0.0000 0.0000 8.4308
0.0000 0.0000 12.7100
0.0000 0.0000 17.0101
0.0000 2.1275 1.9943
0.0000 2.1275 6.2877
0.0000 2.1275 10.5704
0.0000 2.1275 14.8531
0.0000 2.1275 19.1465
2.1275 0.0000 1.9943
2.1275 0.0000 6.2877
2.1275 0.0000 10.5704
2.1275 0.0000 14.8531
2.1275 0.0000 19.1465
2.1275 2.1275 0.0000
2.1275 2.1275 4.2494
2.1275 2.1275 8.4432
2.1275 2.1275 12.6976
2.1275 2.1275 16.8914
```

Summary:
- formation energy from the elements (meV per atom) = -200

***

# 20
A plane-wave DFT calculation with PBE was carried out for a relaxed MgUGa4 crystal.

Cell and atoms, written as POSCAR:
```
MgUGa4
1.0
0.0000 3.8799 3.8799
3.8799 0.0000 3.8799
3.8799 3.8799 0.0000
Mg U Ga
1 1 4
Cartesian
0.0000 0.0000 0.0000
5.8198 5.8198 5.8198
2.9134 2.9134 2.9134
4.8464 4.8464 2.9134
4.8464 2.9134 4.8464
2.9134 4.8464 4.8464
```

Summary:
- formation energy from the elements (meV per atom) = -12